#A
Entry from Alexandria: crystalline BeTlRu2 at its relaxed geometry (GGA-PBE).

Volume = 14.990 A^3/atom
D(E_F) = 4.0 states/eV/f.u.
Space-group type = No. 99

a b c (Å): 3.0218 3.0219 6.5661
angles (deg): 90.00 90.00 90.00
Fractional positions:
Ru 0.0000 0.0000 0.9532
Ru 0.5000 0.5000 0.2113
Tl 0.0000 0.0000 0.5099
Be 0.5000 0.5000 0.8256

#B
Entry from Alexandria: crystalline BeTlRu2 at its relaxed geometry (GGA-PBE).

Volume = 15.297 A^3/atom
D(E_F) = 4.0 states/eV/f.u.
Space-group type = No. 47

a b c (Å): 3.0418 4.6362 4.3388
angles (deg): 90.00 90.00 90.00
Fractional positions:
Ru 0.0000 0.0000 0.0000
Ru 0.5000 0.5000 0.0000
Tl 0.5000 0.0000 0.5000
Be 0.0000 0.5000 0.5000

Least stable structure: #B

#A
Entry from Alexandria: crystalline CrCuSb2 at its relaxed geometry (GGA-PBE).

Volume = 19.648 A^3/atom
D(E_F) = 2.1 states/eV/f.u.
Space-group type = No. 123

a b c (Å): 3.7556 4.5746 4.5746
angles (deg): 90.00 90.00 90.00
Fractional positions:
Cr 0.5000 0.5000 0.0000
Cu 0.5000 0.0000 0.5000
Sb 0.0000 0.0000 0.0000
Sb 0.0000 0.5000 0.5000

#B
Entry from Alexandria: crystalline CrCuSb2 at its relaxed geometry (GGA-PBE).

Volume = 21.025 A^3/atom
D(E_F) = 2.4 states/eV/f.u.
Space-group type = No. 216

a b c (Å): 4.9178 4.9178 4.9178
angles (deg): 60.00 60.00 60.00
Fractional positions:
Cr 0.5000 0.5000 0.5000
Cu 0.7500 0.7500 0.7500
Sb 0.0000 0.0000 0.0000
Sb 0.2500 0.2500 0.2500

Least stable structure: #B